Record 1
A plane-wave DFT calculation with PBE was carried out for an optimized crystal structure of LiTlTe.

```
data_LiTlTe
_cell_length_a 4.832
_cell_length_b 4.832
_cell_length_c 7.456
_cell_angle_alpha 90.00
_cell_angle_beta 90.00
_cell_angle_gamma 90.00
_space_group_name_H-M_alt 'P 4/n m m'
_space_group_IT_number 129
loop_
_space_group_symop_operation_xyz
'x,y,z'
'-x,-y,-z'
'-y+1/2,x,z'
'y+1/2,-x,-z'
'-x+1/2,-y+1/2,z'
'x+1/2,y+1/2,-z'
'y,-x+1/2,z'
'-y,x+1/2,-z'
'x+1/2,-y,-z'
'-x+1/2,y,z'
'-y,-x,-z'
'y,x,z'
'-x,y+1/2,-z'
'x,-y+1/2,z'
'y+1/2,x+1/2,-z'
'-y+1/2,-x+1/2,z'
loop_
_atom_site_label
_atom_site_fract_x
_atom_site_fract_y
_atom_site_fract_z
Li1 0.250 0.750 0.000
Tl1 0.250 0.250 0.333
Te1 0.250 0.250 0.795
```

The final energy comes out at -18.8 eV per cell. The value obtained for the theoretical density is 6465 kg/m³.

Record 2
A plane-wave DFT calculation with PBE was carried out for an optimized crystal structure of LiTlTe2.

```
data_LiTlTe2
_cell_length_a 7.737
_cell_length_b 7.737
_cell_length_c 7.737
_cell_angle_alpha 90.00
_cell_angle_beta 90.00
_cell_angle_gamma 90.00
_space_group_name_H-M_alt 'F -4 3 m'
_space_group_IT_number 216
_space_group_name_Hall 'F -4 2 3'
loop_
_atom_site_label
_atom_site_fract_x
_atom_site_fract_y
_atom_site_fract_z
Li1 0.000 0.000 0.000
Tl1 0.250 0.250 0.250
Te1 0.000 0.000 0.500
Te2 0.250 0.250 0.750
```

The final energy comes out at -44.0 eV per cell. The value obtained for the theoretical density is 6691 kg/m³.

Record 3
A plane-wave DFT calculation with PBE was carried out for an optimized crystal structure of LiTl2Te.

```
data_LiTl2Te
_cell_length_a 4.570
_cell_length_b 4.570
_cell_length_c 5.497
_cell_angle_alpha 90.00
_cell_angle_beta 90.00
_cell_angle_gamma 90.00
_space_group_name_H-M_alt 'P 4/m m m'
_space_group_IT_number 123
_space_group_name_Hall '-P 4 2'
loop_
_atom_site_label
_atom_site_fract_x
_atom_site_fract_y
_atom_site_fract_z
Li1 0.000 0.000 0.000
Tl1 0.000 0.500 0.500
Te1 0.500 0.500 0.000
```

The final energy comes out at -11.2 eV per cell. The value obtained for the theoretical density is 7860 kg/m³.

Record 4
A plane-wave DFT calculation with PBE was carried out for an optimized crystal structure of LiTlTe.

```
data_LiTlTe
_cell_length_a 4.652
_cell_length_b 4.665
_cell_length_c 5.818
_cell_angle_alpha 69.37
_cell_angle_beta 68.62
_cell_angle_gamma 60.39
_space_group_name_H-M_alt 'P 1'
_space_group_IT_number 1
loop_
_space_group_symop_operation_xyz
'x,y,z'
loop_
_atom_site_label
_atom_site_fract_x
_atom_site_fract_y
_atom_site_fract_z
Li1 0.000 0.000 0.000
Tl1 0.197 0.215 0.436
Te1 0.645 0.646 0.068
```

The final energy comes out at -9.1 eV per cell. The value obtained for the theoretical density is 5635 kg/m³.

> Which value of final energy does entry 2 give?

-44.0 eV per cell